DFT (GGA-PBE) results for a relaxed structure of LiMgIn2.

Lattice parameters (Å, degrees): 3.3779 3.3779 28.7231 90.00 90.00 120.00
Space group R3m (No. 160, hexagonal axes)
One atom of each set of equivalent atoms:
Li1 0.0000 0.0000 0.0000 x3
Mg1 0.0000 0.0000 0.7502 x3
In1 0.0000 0.0000 0.2573 x3
In2 0.0000 0.0000 0.5010 x3

energy of formation: -0.067 eV/atom
magnetic moment: 0.0 μB/cell